# 1
An optimized crystal structure of Er2Cu2GeRh5. Source: Alexandria, functional PBE.

- total magnetization (μB/atom) = 0.00
- crystal system = tetragonal
- calculated total energy (eV per atom) = -6.390
- space group = P4/mbm, No. 127

Cell: 3.716 9.313 9.313 Å, 90.00 90.00 90.00°
Fractional coordinates of all 20 atoms:
Rh (0.500, 0.700, 0.433)
Rh (0.500, 0.300, 0.567)
Rh (0.500, 0.433, 0.300)
Rh (0.500, 0.567, 0.700)
Rh (0.500, 0.800, 0.933)
Rh (0.500, 0.200, 0.067)
Rh (0.500, 0.067, 0.800)
Rh (0.500, 0.500, 0.000)
Rh (0.500, 0.933, 0.200)
Rh (0.500, 0.000, 0.500)
Ge (0.000, 0.000, 0.000)
Ge (0.000, 0.500, 0.500)
Cu (0.000, 0.874, 0.374)
Cu (0.000, 0.626, 0.874)
Cu (0.000, 0.126, 0.626)
Cu (0.000, 0.374, 0.126)
Er (0.000, 0.173, 0.327)
Er (0.000, 0.327, 0.827)
Er (0.000, 0.673, 0.173)
Er (0.000, 0.827, 0.673)

# 2
An optimized crystal structure of Ba2Si3SnAu12. Source: Alexandria, functional PBE.

- total magnetization (μB/atom) = 0.00
- crystal system = trigonal
- calculated total energy (eV per atom) = -3.639
- space group = R-3m, No. 166

Cell: 8.538 8.538 8.538 Å, 62.84 62.84 62.84°
Fractional coordinates of all 18 atoms:
Au (0.120, 0.620, 0.120)
Au (0.321, 0.873, 0.321)
Au (0.679, 0.679, 0.127)
Au (0.679, 0.127, 0.679)
Au (0.380, 0.880, 0.880)
Au (0.321, 0.321, 0.873)
Au (0.127, 0.679, 0.679)
Au (0.120, 0.120, 0.620)
Au (0.880, 0.380, 0.880)
Au (0.873, 0.321, 0.321)
Au (0.620, 0.120, 0.120)
Au (0.880, 0.880, 0.380)
Ba (0.392, 0.392, 0.392)
Ba (0.608, 0.608, 0.608)
Si (0.500, 0.000, 0.000)
Si (0.000, 0.500, 0.000)
Si (0.000, 0.000, 0.500)
Sn (0.000, 0.000, 0.000)

Copy entry 2 word for word.
An optimized crystal structure of Ba2Si3SnAu12. Source: Alexandria, functional PBE.

- total magnetization (μB/atom) = 0.00
- crystal system = trigonal
- calculated total energy (eV per atom) = -3.639
- space group = R-3m, No. 166

Cell: 8.538 8.538 8.538 Å, 62.84 62.84 62.84°
Fractional coordinates of all 18 atoms:
Au (0.120, 0.620, 0.120)
Au (0.321, 0.873, 0.321)
Au (0.679, 0.679, 0.127)
Au (0.679, 0.127, 0.679)
Au (0.380, 0.880, 0.880)
Au (0.321, 0.321, 0.873)
Au (0.127, 0.679, 0.679)
Au (0.120, 0.120, 0.620)
Au (0.880, 0.380, 0.880)
Au (0.873, 0.321, 0.321)
Au (0.620, 0.120, 0.120)
Au (0.880, 0.880, 0.380)
Ba (0.392, 0.392, 0.392)
Ba (0.608, 0.608, 0.608)
Si (0.500, 0.000, 0.000)
Si (0.000, 0.500, 0.000)
Si (0.000, 0.000, 0.500)
Sn (0.000, 0.000, 0.000)